The following is a DFT calculation (PBE with a Hubbard U) of a geometry-optimized MnNiO2F structure.

a b c (Å): 3.8454 3.8454 3.8551
angles (deg): 90.00 90.00 90.00
Last column: nearest neighbours and their distance in Å.
Sites, in units of the cell vectors:
Mn 0.0000 0.0000 0.0000  4 O 1.92, 2 F 1.93
Ni 0.5000 0.5000 0.5000  4 F 2.72, 8 O 2.72
O 0.0000 0.5000 0.0000  2 Mn 1.92
O 0.5000 0.0000 0.0000  2 Mn 1.92
F 0.0000 0.0000 0.5000  2 Mn 1.93

Output
**D(E_F)**: 1.99 states/eV/f.u.
**Magnetic moment**: 5.73 μB per formula unit
**E**: -26.43 eV/cell